1.
Here is Li2TlAg after structural relaxation from Alexandria. Energies are from GGA-PBE.

Cell lengths 4.7269, 4.7269, 4.7269 Å; angles 60.00, 60.00, 60.00 degrees
With the nearest neighbours (Å) after each atom.
Positions (direct):
Tl  0.0000  0.0000  0.0000  4 Ag 2.89, 4 Li 2.89
Ag  0.7500  0.7500  0.7500  4 Li 2.89, 4 Tl 2.89
Li  0.5000  0.5000  0.5000  4 Li 2.89, 4 Ag 2.89
Li  0.2500  0.2500  0.2500  4 Tl 2.89, 4 Li 2.89

Values from the calculation:
The value obtained for the total energy is -2.467 eV per atom.

2.
Here is Li5TlAg8 after structural relaxation from Alexandria. Energies are from GGA-PBE.

Cell lengths 6.9105, 6.9105, 6.9105 Å; angles 109.18, 110.05, 109.18 degrees
With the nearest neighbours (Å) after each atom.
Positions (direct):
Li  0.0442  0.3498  0.1336  8 Ag 2.67-2.92
Li  0.8664  0.9106  0.2162  8 Ag 2.67-2.92
Li  0.7838  0.6502  0.6944  8 Ag 2.67-2.92
Li  0.5000  0.0000  0.5000  4 Ag 2.51
Li  0.3056  0.0894  0.9558  8 Ag 2.67-2.92
Tl  0.2500  0.5000  0.7500  8 Ag 2.85-3.13
Ag  0.1479  0.7472  0.0869  4 Li 2.51-2.80
Ag  0.9131  0.0610  0.6603  4 Li 2.51-2.80
Ag  0.7322  0.2610  0.3291  5 Li 2.69-2.92, 3 Ag 2.90-2.92
Ag  0.6709  0.4031  0.9319  5 Li 2.69-2.92, 3 Ag 2.90-2.92
Ag  0.5289  0.5969  0.2678  5 Li 2.69-2.92, 3 Ag 2.90-2.92
Ag  0.5993  0.9390  0.8521  4 Li 2.51-2.80
Ag  0.3397  0.2528  0.4007  4 Li 2.51-2.80
Ag  0.0681  0.7390  0.4711  5 Li 2.69-2.92, 3 Ag 2.90-2.92

Values from the calculation:
The value obtained for the total energy is -2.543 eV per atom.

3.
Here is Li12Tl2Ag after structural relaxation from Alexandria. Energies are from GGA-PBE.

Cell lengths 5.5012, 5.5012, 20.4497 Å; angles 90.00, 90.00, 90.00 degrees
With the nearest neighbours (Å) after each atom.
Positions (direct):
Li  0.5000  0.5000  0.7959  1 Li 2.70
Li  0.0000  0.0000  0.7959  1 Li 2.70
Li  0.7500  0.7500  0.9100  2 Ag 2.68, 4 Li 2.75
Li  0.2500  0.7500  0.9100  2 Ag 2.68, 4 Li 2.75
Li  0.0000  0.0000  0.3360  5 Li 2.70-2.92, 4 Tl 3.00
Li  0.2500  0.7500  0.0900  2 Ag 2.68, 4 Li 2.75
Li  0.8199  0.3199  0.5612  8 Li 2.73-2.92
Li  0.5000  0.5000  0.3360  5 Li 2.70-2.92, 4 Tl 3.00
Li  0.2500  0.2500  0.9100  2 Ag 2.68, 4 Li 2.75
Li  0.7500  0.7500  0.0900  2 Ag 2.68, 4 Li 2.75
Li  0.3199  0.1801  0.5612  8 Li 2.73-2.92
Li  0.6801  0.1801  0.4388  8 Li 2.73-2.92
Li  0.0000  0.0000  0.6640  5 Li 2.70-2.92, 4 Tl 3.00
Li  0.1801  0.3199  0.4388  8 Li 2.73-2.92
Li  0.2500  0.2500  0.0900  2 Ag 2.68, 4 Li 2.75
Li  0.8199  0.6801  0.4388  8 Li 2.73-2.92
Li  0.6801  0.8199  0.5612  8 Li 2.73-2.92
Li  0.0000  0.0000  0.2041  1 Li 2.70
Li  0.1801  0.6801  0.5612  8 Li 2.73-2.92
Li  0.5000  0.5000  0.6640  5 Li 2.70-2.92, 4 Tl 3.00
Li  0.7500  0.2500  0.9100  2 Ag 2.68, 4 Li 2.75
Li  0.5000  0.5000  0.2041  1 Li 2.70
Li  0.3199  0.8199  0.4388  8 Li 2.73-2.92
Li  0.7500  0.2500  0.0900  2 Ag 2.68, 4 Li 2.75
Tl  0.5000  0.0000  0.2778  8 Li 3.00-3.14
Tl  0.0000  0.5000  0.2778  8 Li 3.00-3.14
Tl  0.0000  0.5000  0.7222  8 Li 3.00-3.14
Tl  0.5000  0.0000  0.7222  8 Li 3.00-3.14
Ag  0.5000  0.0000  0.0000  8 Li 2.68
Ag  0.0000  0.5000  0.0000  8 Li 2.68

Values from the calculation:
The value obtained for the total energy is -2.023 eV per atom.

4.
Here is LiTlAg2 after structural relaxation from Alexandria. Energies are from GGA-PBE.

Cell lengths 5.2734, 5.2734, 5.2734 Å; angles 133.28, 133.05, 68.40 degrees
With the nearest neighbours (Å) after each atom.
Positions (direct):
Tl  0.7500  0.2500  0.5000  4 Li 2.96, 8 Ag 3.02-3.03
Ag  0.0004  0.0004  0.0000  4 Ag 2.96, 4 Li 3.02-3.03, 4 Tl 3.02-3.03
Ag  0.4996  0.4996  0.0000  4 Ag 2.96, 4 Li 3.02-3.03, 4 Tl 3.02-3.03
Li  0.2500  0.7500  0.5000  4 Tl 2.96, 8 Ag 3.02-3.03

Values from the calculation:
The value obtained for the total energy is -2.586 eV per atom.